[1]
Ta2BiC | PBE-GGA | relaxed

- uncorrected energy (eV per atom) = -7.868
- energy of formation from the pure elements (meV per atom) = 1334
- volume (Å³ per atom) = 16.86
- symmetry = Fm-3m (225)

Cell: 6.462 6.462 6.462 Å, 90.00 90.00 90.00°
Fractional positions:
Ta (0.250, 0.250, 0.250)
Ta (0.250, 0.250, 0.750)
Ta (0.250, 0.750, 0.250)
Ta (0.250, 0.750, 0.750)
Ta (0.750, 0.250, 0.250)
Ta (0.750, 0.250, 0.750)
Ta (0.750, 0.750, 0.250)
Ta (0.750, 0.750, 0.750)
Bi (0.000, 0.000, 0.000)
Bi (0.000, 0.500, 0.500)
Bi (0.500, 0.000, 0.500)
Bi (0.500, 0.500, 0.000)
C (0.000, 0.000, 0.500)
C (0.000, 0.500, 0.000)
C (0.500, 0.000, 0.000)
C (0.500, 0.500, 0.500)

=====

[2]
Y2TaBiC | PBE-GGA | relaxed

- uncorrected energy (eV per atom) = -7.909
- energy of formation from the pure elements (meV per atom) = -332
- volume (Å³ per atom) = 21.75
- symmetry = P4/mmm (123)

Cell: 5.056 5.056 4.255 Å, 90.00 90.00 90.00°
Fractional positions:
Y (0.000, 0.500, 0.000)
Y (0.500, 0.000, 0.000)
Ta (0.000, 0.000, 0.500)
Bi (0.500, 0.500, 0.500)
C (0.000, 0.000, 0.000)

=====

[3]
ZrTa2BiC | PBE-GGA | relaxed

- uncorrected energy (eV per atom) = -6.638
- energy of formation from the pure elements (meV per atom) = 2434
- volume (Å³ per atom) = 24.06
- symmetry = P4/mmm (123)

Cell: 5.269 5.269 4.334 Å, 90.00 90.00 90.00°
Fractional positions:
Zr (0.000, 0.000, 0.000)
Ta (0.000, 0.500, 0.500)
Ta (0.500, 0.000, 0.500)
Bi (0.500, 0.500, 0.500)
C (0.500, 0.500, 0.000)

=====

[4]
Tb4Bi2C | PBE-GGA | relaxed

- uncorrected energy (eV per atom) = -5.595
- energy of formation from the pure elements (meV per atom) = -523
- volume (Å³ per atom) = 28.60
- symmetry = P2_1/m (11)

Cell: 6.983 6.751 8.974 Å, 90.00 108.84 90.00°
Fractional positions:
Tb (0.002, 0.000, 0.274)
Tb (0.002, 0.500, 0.274)
Tb (0.377, 0.250, 0.062)
Tb (0.418, 0.250, 0.642)
Tb (0.582, 0.750, 0.358)
Tb (0.623, 0.750, 0.938)
Tb (0.998, 0.000, 0.726)
Tb (0.998, 0.500, 0.726)
Bi (0.215, 0.750, 0.045)
Bi (0.292, 0.750, 0.578)
Bi (0.708, 0.250, 0.422)
Bi (0.785, 0.250, 0.955)
C (0.217, 0.250, 0.798)
C (0.783, 0.750, 0.202)

=====

[5]
Tb8BiC4 | PBE-GGA | relaxed

- uncorrected energy (eV per atom) = -6.308
- energy of formation from the pure elements (meV per atom) = -322
- volume (Å³ per atom) = 22.38
- symmetry = C2/m (12)

Cell: 8.975 8.975 11.981 Å, 129.70 129.70 23.44°
Fractional positions:
Tb (0.041, 0.041, 0.237)
Tb (0.295, 0.295, 0.431)
Tb (0.334, 0.334, 0.159)
Tb (0.369, 0.369, 0.912)
Tb (0.631, 0.631, 0.088)
Tb (0.666, 0.666, 0.841)
Tb (0.705, 0.705, 0.569)
Tb (0.959, 0.959, 0.763)
Bi (0.000, 0.000, 0.500)
C (0.149, 0.149, 0.960)
C (0.333, 0.333, 0.669)
C (0.667, 0.667, 0.331)
C (0.851, 0.851, 0.040)

=====

[6]
Tb7Bi2C2 | PBE-GGA | relaxed

- uncorrected energy (eV per atom) = -5.612
- energy of formation from the pure elements (meV per atom) = -283
- volume (Å³ per atom) = 25.66
- symmetry = Imm2 (44)

Cell: 9.720 9.720 9.720 Å, 159.34 65.34 118.79°
Fractional positions:
Tb (0.000, 0.000, 0.000)
Tb (0.040, 0.702, 0.338)
Tb (0.064, 0.373, 0.691)
Tb (0.365, 0.702, 0.662)
Tb (0.425, 0.567, 0.857)
Tb (0.683, 0.373, 0.309)
Tb (0.710, 0.567, 0.143)
Bi (0.327, 0.327, 0.000)
Bi (0.727, 0.227, 0.500)
C (0.392, 0.131, 0.261)
C (0.870, 0.131, 0.739)

=====

[7]
Tb2BiC2 | PBE-GGA | relaxed

- uncorrected energy (eV per atom) = -6.758
- energy of formation from the pure elements (meV per atom) = -440
- volume (Å³ per atom) = 21.10
- symmetry = C2/c (15)

Cell: 7.879 7.879 6.335 Å, 93.63 93.63 32.52°
Fractional positions:
Tb (0.055, 0.627, 0.828)
Tb (0.373, 0.945, 0.672)
Tb (0.627, 0.055, 0.328)
Tb (0.945, 0.373, 0.172)
Bi (0.288, 0.712, 0.250)
Bi (0.712, 0.288, 0.750)
C (0.149, 0.387, 0.473)
C (0.387, 0.149, 0.973)
C (0.613, 0.851, 0.027)
C (0.851, 0.613, 0.527)

=====

[8]
Tb6BiC2 | PBE-GGA | relaxed

- uncorrected energy (eV per atom) = -5.765
- energy of formation from the pure elements (meV per atom) = -197
- volume (Å³ per atom) = 26.53
- symmetry = C2/m (12)

Cell: 7.079 7.079 8.885 Å, 122.18 122.18 40.66°
Fractional positions:
Tb (0.035, 0.035, 0.192)
Tb (0.306, 0.306, 0.935)
Tb (0.330, 0.330, 0.417)
Tb (0.670, 0.670, 0.583)
Tb (0.694, 0.694, 0.065)
Tb (0.965, 0.965, 0.808)
Bi (0.000, 0.000, 0.500)
C (0.179, 0.179, 0.092)
C (0.821, 0.821, 0.908)

=====

Question: Among the records above, which one has the highest energy of formation from the pure elements?
Answer: ZrTa2BiC

=====

Question: What is the volume in the second record?
Answer: 21.75 Å³ per atom

=====

Question: What is the formula in the sixth record?
Answer: Tb7Bi2C2